# 1
Entry from Alexandria via LeMat-Bulk: Er8Bi2Sb after structural relaxation (PBE-GGA).

Properties
Calculated total energy (eV per atom): -4.818
Density of states at the Fermi level (states/eV/f.u.): 12.8
Crystal system: monoclinic
Uncorrected formation energy (eV per atom): -0.419

The structure in CIF format:
```
data_Er8Bi2Sb
_chemical_formula_sum 'Er16 Bi4 Sb2'
_space_group_name_H-M_alt 'C 1 2/m 1'
_space_group_IT_number 12
_cell_length_a 18.382
_cell_length_b 5.156
_cell_length_c 6.810
_cell_angle_alpha 90.00
_cell_angle_beta 92.68
_cell_angle_gamma 90.00
loop_
_space_group_symop_operation_xyz
'x,y,z'
'-x,-y,-z'
'-x,y,-z'
'x,-y,z'
'x+1/2,y+1/2,z'
'-x+1/2,-y+1/2,-z'
'-x+1/2,y+1/2,-z'
'x+1/2,-y+1/2,z'
loop_
_atom_site_label
_atom_site_fract_x
_atom_site_fract_y
_atom_site_fract_z
Er1 0.033 0.000 0.247
Er2 0.092 0.500 0.934
Er3 0.160 0.500 0.409
Er4 0.217 0.000 0.134
Bi1 0.167 0.000 0.676
Sb1 0.000 0.500 0.500
```


# 2
Entry from Alexandria via LeMat-Bulk: Er6BiSb5 after structural relaxation (PBE-GGA).

Properties
Calculated total energy (eV per atom): -5.369
Density of states at the Fermi level (states/eV/f.u.): 2.2
Crystal system: monoclinic
Uncorrected formation energy (eV per atom): -1.046

The structure in CIF format:
```
data_Er6BiSb5
_chemical_formula_sum 'Er12 Bi2 Sb10'
_space_group_name_H-M_alt 'C 1 2/m 1'
_space_group_IT_number 12
_cell_length_a 7.566
_cell_length_b 13.104
_cell_length_c 7.558
_cell_angle_alpha 90.00
_cell_angle_beta 109.46
_cell_angle_gamma 90.00
loop_
_space_group_symop_operation_xyz
'x,y,z'
'-x,-y,-z'
'-x,y,-z'
'x,-y,z'
'x+1/2,y+1/2,z'
'-x+1/2,-y+1/2,-z'
'-x+1/2,y+1/2,-z'
'x+1/2,-y+1/2,z'
loop_
_atom_site_label
_atom_site_fract_x
_atom_site_fract_y
_atom_site_fract_z
Er1 0.246 0.000 0.251
Er2 0.247 0.169 0.748
Bi1 0.000 0.500 0.000
Sb1 0.000 0.000 0.500
Sb2 0.000 0.167 0.000
Sb3 0.000 0.335 0.500
```


# 3
Entry from Alexandria via LeMat-Bulk: ErBiSb after structural relaxation (PBE-GGA).

Properties
Calculated total energy (eV per atom): -4.451
Density of states at the Fermi level (states/eV/f.u.): 2.5
Crystal system: cubic
Uncorrected formation energy (eV per atom): -0.262

The structure in CIF format:
```
data_ErBiSb
_chemical_formula_sum 'Er4 Bi4 Sb4'
_space_group_name_H-M_alt 'P 21 3'
_space_group_IT_number 198
_space_group_name_Hall 'P 2ac 2ab 3'
_cell_length_a 7.460
_cell_length_b 7.460
_cell_length_c 7.460
_cell_angle_alpha 90.00
_cell_angle_beta 90.00
_cell_angle_gamma 90.00
loop_
_atom_site_label
_atom_site_fract_x
_atom_site_fract_y
_atom_site_fract_z
Er1 0.001 0.001 0.001
Bi1 0.080 0.580 0.920
Sb1 0.147 0.853 0.353
```


# 4
Entry from Alexandria via LeMat-Bulk: Er3BiSb2 after structural relaxation (PBE-GGA).

Properties
Calculated total energy (eV per atom): -5.301
Density of states at the Fermi level (states/eV/f.u.): 1.2
Crystal system: orthorhombic
Uncorrected formation energy (eV per atom): -0.999

The structure in CIF format:
```
data_Er3BiSb2
_chemical_formula_sum 'Er6 Bi2 Sb4'
_space_group_name_H-M_alt 'I m m m'
_space_group_IT_number 71
_space_group_name_Hall '-I 2 2'
_cell_length_a 4.380
_cell_length_b 6.194
_cell_length_c 13.155
_cell_angle_alpha 90.00
_cell_angle_beta 90.00
_cell_angle_gamma 90.00
loop_
_atom_site_label
_atom_site_fract_x
_atom_site_fract_y
_atom_site_fract_z
Er1 0.000 0.000 0.000
Er2 0.000 0.000 0.329
Bi1 0.000 0.500 0.000
Sb1 0.000 0.500 0.335
```


Please write out number 4 again, unchanged.
Entry from Alexandria via LeMat-Bulk: Er3BiSb2 after structural relaxation (PBE-GGA).

Properties
Calculated total energy (eV per atom): -5.301
Density of states at the Fermi level (states/eV/f.u.): 1.2
Crystal system: orthorhombic
Uncorrected formation energy (eV per atom): -0.999

The structure in CIF format:
```
data_Er3BiSb2
_chemical_formula_sum 'Er6 Bi2 Sb4'
_space_group_name_H-M_alt 'I m m m'
_space_group_IT_number 71
_space_group_name_Hall '-I 2 2'
_cell_length_a 4.380
_cell_length_b 6.194
_cell_length_c 13.155
_cell_angle_alpha 90.00
_cell_angle_beta 90.00
_cell_angle_gamma 90.00
loop_
_atom_site_label
_atom_site_fract_x
_atom_site_fract_y
_atom_site_fract_z
Er1 0.000 0.000 0.000
Er2 0.000 0.000 0.329
Bi1 0.000 0.500 0.000
Sb1 0.000 0.500 0.335
```


Please write out number 3 again, unchanged.
Entry from Alexandria via LeMat-Bulk: ErBiSb after structural relaxation (PBE-GGA).

Properties
Calculated total energy (eV per atom): -4.451
Density of states at the Fermi level (states/eV/f.u.): 2.5
Crystal system: cubic
Uncorrected formation energy (eV per atom): -0.262

The structure in CIF format:
```
data_ErBiSb
_chemical_formula_sum 'Er4 Bi4 Sb4'
_space_group_name_H-M_alt 'P 21 3'
_space_group_IT_number 198
_space_group_name_Hall 'P 2ac 2ab 3'
_cell_length_a 7.460
_cell_length_b 7.460
_cell_length_c 7.460
_cell_angle_alpha 90.00
_cell_angle_beta 90.00
_cell_angle_gamma 90.00
loop_
_atom_site_label
_atom_site_fract_x
_atom_site_fract_y
_atom_site_fract_z
Er1 0.001 0.001 0.001
Bi1 0.080 0.580 0.920
Sb1 0.147 0.853 0.353
```


- Which of these has the highest density of states at the Fermi level?
  Er8Bi2Sb


- Look up the calculated total energy of the third one.
  -4.451 eV per atom